Entry 1:
# VF3

A geometry-optimized VF3 structure (PBEsol, Alexandria).

ΔE_f (raw) in eV per atom: -2.862
Symmetry: Pnma
Crystal system: orthorhombic
Density of states at the Fermi level in states/eV per cell: 13.35
VASP energy in eV/atom: -6.72

Structure (POSCAR):
```
VF3
1.0
-4.265 1.280 2.590
-0.112 -4.873 2.223
4.160 2.473 5.629
F V
12 4
direct
0.704 0.707 0.952
0.598 0.983 0.250
0.098 0.517 0.750
0.204 0.793 0.452
0.704 0.707 0.548
0.402 0.017 0.750
0.296 0.293 0.452
0.796 0.207 0.952
0.902 0.483 0.250
0.296 0.293 0.048
0.796 0.207 0.548
0.204 0.793 0.048
0.000 0.500 0.500
0.000 0.500 0.000
0.500 0.000 0.000
0.500 0.000 0.500
```

Entry 2:
# CrTc2Ni

A geometry-optimized CrTc2Ni structure (PBEsol, Alexandria).

Energy of formation from the pure elements in eV per atom: 0.116
Relative energy among the computed polymorphs in meV/atom: 100.1
Symmetry: Pmm2
Crystal system: orthorhombic
Density of states at the Fermi level in states/eV per cell: 4.67
VASP energy in eV/atom: -9.62

Structure (POSCAR):
```
CrTc2Ni
1.0
2.617 0.000 0.000
0.000 3.710 0.000
0.000 0.000 5.145
Tc Ni Cr
2 1 1
direct
0.500 0.500 0.255
0.000 0.000 0.991
0.500 0.500 0.743
0.000 0.000 0.510
```

Entry 3:
# CsPdIN2

A geometry-optimized CsPdIN2 structure (PBEsol, Alexandria).

ΔE_f (raw) in eV per atom: 2.234
Symmetry: P4/mmm
Crystal system: tetragonal
Density of states at the Fermi level in states/eV per cell: 5.21
VASP energy in eV/atom: -2.91

Structure (POSCAR):
```
CsPdIN2
1.0
4.266 0.000 0.000
0.000 4.266 0.000
0.000 0.000 7.297
I N Pd Cs
1 2 1 1
direct
0.000 0.000 0.500
0.000 0.500 0.000
0.500 0.000 0.000
0.500 0.500 0.500
0.000 0.000 0.000
```

Entry 4:
# HgIr3

A geometry-optimized HgIr3 structure (PBEsol, Alexandria).

Energy of formation from the pure elements in eV per atom: 0.612
Symmetry: P4/mmm
Crystal system: tetragonal
Density of states at the Fermi level in states/eV per cell: 6.55
VASP energy in eV/atom: -6.90

Structure (POSCAR):
```
HgIr3
1.0
-0.639 -1.029 -2.480
3.206 -3.443 0.602
-3.318 -2.742 1.993
Ir Hg
3 1
direct
0.500 0.500 0.000
0.500 0.000 0.500
0.000 0.500 0.500
0.000 0.000 0.000
```